Record 1
Entry from the Alexandria database: crystalline LiSbTe2C at its relaxed geometry (PBE-GGA).

Output
Magnetic moment = 0.2983 μB/atom
E above lowest polymorph = 4.14 eV per formula unit
Density of states at the Fermi level = 5.1 states/eV/f.u.

Cell lengths 5.0565, 5.0565, 4.8693 Å; angles 90.00, 90.00, 90.00 degrees
Fractional coordinates of all 5 atoms:
Te (0.0000, 0.5000, 0.0000)
Te (0.5000, 0.0000, 0.0000)
Li (0.0000, 0.0000, 0.0000)
Sb (0.0000, 0.0000, 0.5000)
C (0.5000, 0.5000, 0.5000)



Record 2
Entry from the Alexandria database: crystalline Sr3Nd2PuTe6 at its relaxed geometry (PBE-GGA).

Output
Magnetic moment = 0.5090 μB/atom
Total energy = -5.473 eV per atom
Density of states at the Fermi level = 18.6 states/eV/f.u.

Cell lengths 4.5673, 9.2809, 10.3422 Å; angles 104.07, 102.76, 90.00 degrees
Fractional coordinates of all 12 atoms:
Te (0.0023, 0.2420, 0.0046)
Te (0.9977, 0.7580, 0.9954)
Te (0.3360, 0.9110, 0.6719)
Te (0.6640, 0.0890, 0.3281)
Te (0.3311, 0.4212, 0.6621)
Te (0.6689, 0.5788, 0.3379)
Sr (0.8332, 0.1661, 0.6664)
Sr (0.5000, 0.5000, 0.0000)
Sr (0.1668, 0.8339, 0.3336)
Pu (0.5000, 0.0000, 0.0000)
Nd (0.1666, 0.3339, 0.3332)
Nd (0.8334, 0.6661, 0.6668)



Record 3
Entry from the Alexandria database: crystalline UTcMo2 at its relaxed geometry (PBE-GGA).

Output
Magnetic moment = 0.0000 μB/atom
E above lowest polymorph = 0.00 eV per formula unit
Density of states at the Fermi level = 4.9 states/eV/f.u.
Energy relative to the elements = 0.157 eV/atom

Cell lengths 3.1494, 4.6545, 4.6545 Å; angles 90.00, 90.00, 90.00 degrees
Fractional coordinates of all 4 atoms:
Mo (0.0000, 0.0000, 0.5000)
Mo (0.0000, 0.5000, 0.0000)
U (0.5000, 0.0000, 0.0000)
Tc (0.5000, 0.5000, 0.5000)



Record 4
Entry from the Alexandria database: crystalline Rb2Cd5Bi4 at its relaxed geometry (PBE-GGA).

Output
Magnetic moment = 0.0000 μB/atom
Density of states at the Fermi level = 4.8 states/eV/f.u.
Energy relative to the elements = -0.059 eV/atom

Cell lengths 6.8678, 7.8468, 9.1866 Å; angles 80.59, 68.05, 64.05 degrees
Fractional coordinates of all 11 atoms:
Bi (0.5215, 0.7057, 0.2514)
Bi (0.4785, 0.2943, 0.7486)
Bi (0.2271, 0.2943, 0.2514)
Bi (0.7729, 0.7057, 0.7486)
Rb (0.8433, 0.0000, 0.3133)
Rb (0.1567, 0.0000, 0.6867)
Cd (0.5000, 0.5000, 0.0000)
Cd (0.2500, 0.5000, 0.5000)
Cd (0.7500, 0.5000, 0.5000)
Cd (0.0000, 0.5000, 0.0000)
Cd (0.5000, 0.0000, 0.0000)



Record 5
Entry from the Alexandria database: crystalline Re2HgAs at its relaxed geometry (PBE-GGA).

Output
Magnetic moment = 0.0000 μB/atom
E above lowest polymorph = 1.92 eV per formula unit
Density of states at the Fermi level = 3.6 states/eV/f.u.
Energy relative to the elements = 0.758 eV/atom

Cell lengths 5.4720, 5.4720, 5.4720 Å; angles 147.94, 129.16, 61.39 degrees
Fractional coordinates of all 4 atoms:
Re (0.5376, 0.5376, 0.0000)
Re (0.9624, 0.9624, 0.0000)
Hg (0.2500, 0.7500, 0.5000)
As (0.7500, 0.2500, 0.5000)



Record 6
Entry from the Alexandria database: crystalline Tl3RuBr8 at its relaxed geometry (PBE-GGA).

Output
Magnetic moment = 0.2313 μB/atom
Total energy = -2.980 eV per atom
Density of states at the Fermi level = 6.3 states/eV/f.u.

Cell lengths 10.4046, 9.4559, 9.4559 Å; angles 120.00, 90.00, 90.00 degrees
Fractional coordinates of all 24 atoms:
Br (0.5262, 0.9163, 0.4582)
Br (0.2214, 0.6667, 0.3333)
Br (0.3006, 0.2082, 0.7918)
Br (0.0262, 0.4582, 0.5418)
Br (0.5262, 0.5418, 0.0837)
Br (0.8006, 0.4163, 0.2082)
Br (0.4371, 0.0000, 0.0000)
Br (0.8006, 0.7918, 0.5837)
Br (0.0262, 0.4582, 0.9163)
Br (0.5262, 0.5418, 0.4582)
Br (0.7214, 0.3333, 0.6667)
Br (0.9371, 0.0000, 0.0000)
Br (0.3006, 0.5837, 0.7918)
Br (0.0262, 0.0837, 0.5418)
Br (0.3006, 0.2082, 0.4163)
Br (0.8006, 0.7918, 0.2082)
Tl (0.1583, 0.2995, 0.1498)
Tl (0.1583, 0.8502, 0.1498)
Tl (0.6583, 0.7005, 0.8502)
Tl (0.6583, 0.1498, 0.8502)
Tl (0.1583, 0.8502, 0.7005)
Tl (0.6583, 0.1498, 0.2995)
Ru (0.1594, 0.3333, 0.6667)
Ru (0.6594, 0.6667, 0.3333)